This record from Alexandria describes a relaxed CaLaMn2Mo crystal. The functional is PBE-GGA. Values from VASP.

Structure (Quantum ESPRESSO input):
```
&SYSTEM
  ibrav = 0, nat = 5, ntyp = 4
/
ATOMIC_SPECIES
Ca 40.08 Ca.upf
La 138.91 La.upf
Mn 54.94 Mn.upf
Mo 95.94 Mo.upf
ATOMIC_POSITIONS angstrom
Ca 0.000 0.000 0.000
La 2.408 2.408 0.000
Mn 0.000 2.408 2.640
Mn 2.408 0.000 2.640
Mo 0.000 0.000 2.640
CELL_PARAMETERS angstrom
4.816 0.000 0.000
0.000 4.816 0.000
0.000 0.000 5.280
```

Energy relative to the elements = 0.765 eV/atom